No. 1
First-principles (PBE) data for a relaxed SiHg2Se crystal, as listed in the Alexandria database.

Results
Energy relative to the lowest polymorph listed for this composition (kcal/mol of atoms): 5.53
Space-group type: I-42d, No. 122
VASP energy (eV per atom): -2.121
DOS(E_F) (states/eV per cell): 0.76

Geometry as extended XYZ:
```
8
Lattice="-4.4033 4.5499 -0.7460 -4.1051 -4.3385 -2.2302 -6.0989 -0.8258 3.7194" Properties=species:S:1:pos:R:3 pbc="T T T"
Se 0.0000 0.0000 0.0000
Se -7.3782 1.9150 0.7427
Hg -4.7512 -2.2352 -0.5760
Hg -4.6796 1.9810 0.2035
Hg -7.8677 -0.6487 1.6176
Hg -11.9162 -0.3256 0.2413
Si -4.2542 0.1057 -1.4881
Si -7.2291 -2.5292 0.0005
```


No. 2
First-principles (PBE) data for a relaxed SiHg2Se4 crystal, as listed in the Alexandria database.

Results
Space-group type: I-42m, No. 121
VASP energy (eV per atom): -3.161

Geometry as extended XYZ:
```
7
Lattice="6.1726 0.0000 0.0000 0.0000 6.1726 0.0000 -3.0863 -3.0863 5.3580" Properties=species:S:1:pos:R:3 pbc="T T T"
Se 1.6406 4.5320 1.0702
Se -1.4457 -1.4457 4.2878
Se 1.4457 1.4457 4.2878
Se 4.5320 1.6406 1.0702
Hg 0.0000 3.0863 2.6790
Hg 3.0863 0.0000 2.6790
Si 3.0863 3.0863 0.0000
```


Number 1: calculated volume 28.47 A^3/atom, formation energy from raw total energies 0.2565 eV/atom. Number 2: calculated volume 29.16 A^3/atom, formation energy from raw total energies -0.3088 eV/atom.